No. 1
Density functional theory data (PBE-GGA) for InW2Au after structural relaxation.

The space group is Imm2 (No. 44) and the conventional cell measures 3.3970, 4.7177 and 8.9645 Å, with angles of 90.00, 90.00 and 90.00 degrees. The distinct sites, in fractional coordinates, are In at (0.0000, 0.0000, 0.0000), W at (0.0000, 0.0000, 0.4816), W at (0.0000, 0.5000, 0.7689) and Au at (0.0000, 0.5000, 0.2464).

The formation energy is 0.480 eV/atom. The calculation puts the total magnetic moment at 0.00 μB/f.u.


No. 2
Density functional theory data (PBE-GGA) for YIn3Au after structural relaxation.

The space group is Pm-3m (No. 221) and the conventional cell measures 5.2898, 5.2898 and 5.2898 Å, with angles of 90.00, 90.00 and 90.00 degrees. The distinct sites, in fractional coordinates, are Y at (0.0000, 0.0000, 0.0000), In at (0.0000, 0.5000, 0.5000) and Au at (0.5000, 0.5000, 0.5000).

The formation energy is 0.100 eV/atom. The calculation puts the total magnetic moment at 0.00 μB/f.u. For the energy above the lowest structure with this stoichiometry, the calculation gives 0 meV/atom.


No. 3
Density functional theory data (PBE-GGA) for YIn2Au after structural relaxation.

The space group is Pmm2 (No. 25) and the conventional cell measures 3.6782, 3.9090 and 6.7589 Å, with angles of 90.00, 90.00 and 90.00 degrees. The distinct sites, in fractional coordinates, are Y at (0.0000, 0.0000, 0.0000), In at (0.0000, 0.0000, 0.4701), In at (0.5000, 0.5000, 0.7159) and Au at (0.5000, 0.5000, 0.2213).

The formation energy is -0.410 eV/atom. The calculation puts the total magnetic moment at 0.00 μB/f.u.


No. 4
Density functional theory data (PBE-GGA) for YIn2Au after structural relaxation.

The space group is I4/mmm (No. 139) and the conventional cell measures 4.7478, 4.7478 and 16.6595 Å, with angles of 90.00, 90.00 and 90.00 degrees. The distinct sites, in fractional coordinates, are Y at (0.0000, 0.0000, 0.1336), In at (0.0000, 0.0000, 0.3564), In at (0.0000, 0.5000, 0.0000) and Au at (0.0000, 0.5000, 0.2500).

The formation energy is -0.554 eV/atom. The calculation puts the total magnetic moment at 0.00 μB/f.u.


No. 5
Density functional theory data (PBE-GGA) for Y11In9Au4 after structural relaxation.

The space group is Cmmm (No. 65) and the conventional cell measures 14.7410, 22.2434 and 3.7336 Å, with angles of 90.00, 90.00 and 90.00 degrees. The distinct sites, in fractional coordinates, are Y at (0.0000, 0.0000, 0.0000), Y at (0.0000, 0.1610, 0.0000), Y at (0.0000, 0.3693, 0.0000), Y at (0.1974, 0.5000, 0.0000), Y at (0.2398, 0.1727, 0.0000), In at (0.0000, 0.5000, 0.5000), In at (0.1060, 0.2608, 0.5000), In at (0.1402, 0.0731, 0.5000) and Au at (0.1514, 0.3999, 0.5000).

The formation energy is -0.649 eV/atom. The calculation puts the total magnetic moment at 0.00 μB/f.u.


No. 6
Density functional theory data (PBE-GGA) for Y7In2Au2 after structural relaxation.

The space group is Cmmm (No. 65) and the conventional cell measures 8.2420, 11.2697 and 7.1861 Å, with angles of 90.00, 90.00 and 90.00 degrees. The distinct sites, in fractional coordinates, are Y at (0.0000, 0.0000, 0.0000), Y at (0.0000, 0.5000, 0.2515), Y at (0.2500, 0.2500, 0.2625), In at (0.1745, 0.0000, 0.5000) and Au at (0.0000, 0.2918, 0.0000).

The formation energy is -0.324 eV/atom. The calculation puts the total magnetic moment at 0.00 μB/f.u.